Computed, not measured: a geometry-optimized LuHfMgAl structure at the PBE level of DFT.

a b c (Å): 4.942 4.942 4.942
angles (deg): 60.00 60.00 60.00
Positions (direct):
Lu  0.000  0.000  0.000
Hf  0.500  0.500  0.500
Mg  0.750  0.750  0.750
Al  0.250  0.250  0.250

## Properties
Space-group type ... F-43m (216)
Formation energy from the elements ... -0.113 eV per atom